[1]
An optimized crystal structure of Ir2PtI, computed with PBE-GGA.

Summary:
The polymorph energy (0 for the lowest one) is 0.1551 eV/atom. Its formation energy (no corrections) is 1.106 eV per atom. The total energy comes out at -5.222 eV per atom.

a b c (Å): 7.703 7.703 7.703
angles (deg): 139.31 139.31 58.90
Atoms (fractional coordinates):
Ir 0.108 0.625 0.983
Ir 0.375 0.358 0.483
Ir 0.642 0.125 0.017
Ir 0.875 0.892 0.517
Pt 0.000 0.000 0.000
Pt 0.750 0.250 0.500
I 0.250 0.750 0.500
I 0.500 0.500 0.000


[2]
An optimized crystal structure of IrPtI2, computed with PBE-GGA.

Summary:
The polymorph energy (0 for the lowest one) is 0.4077 eV/atom. Its formation energy (no corrections) is 1.087 eV per atom. The total energy comes out at -3.414 eV per atom.

a b c (Å): 4.918 4.918 4.918
angles (deg): 60.00 60.00 60.00
Atoms (fractional coordinates):
Ir 0.000 0.000 0.000
Pt 0.500 0.500 0.500
I 0.250 0.250 0.250
I 0.750 0.750 0.750


[3]
An optimized crystal structure of Rb2IrPtI6, computed with PBE-GGA.

Summary:
Its formation energy (no corrections) is -0.463 eV per atom. The total energy comes out at -3.077 eV per atom.

a b c (Å): 7.930 7.930 7.930
angles (deg): 119.90 119.90 90.17
Atoms (fractional coordinates):
Rb 0.250 0.750 0.500
Rb 0.750 0.250 0.500
Ir 0.000 0.000 0.000
Pt 0.500 0.500 0.000
I 0.246 0.246 0.493
I 0.246 0.754 0.000
I 0.247 0.247 0.000
I 0.753 0.753 0.000
I 0.754 0.246 0.000
I 0.754 0.754 0.507


[4]
An optimized crystal structure of IrPtRh2I, computed with PBE-GGA.

Summary:
Its formation energy (no corrections) is 1.536 eV per atom. The total energy comes out at -4.695 eV per atom.

a b c (Å): 4.710 4.710 5.194
angles (deg): 90.00 90.00 90.00
Atoms (fractional coordinates):
Ir 0.000 0.000 0.000
Pt 0.500 0.500 0.500
Rh 0.000 0.500 0.000
Rh 0.500 0.000 0.000
I 0.000 0.000 0.500


[5]
An optimized crystal structure of Sb2IrPtI, computed with PBE-GGA.

Summary:
The polymorph energy (0 for the lowest one) is 0.0000 eV/atom. Its formation energy (no corrections) is 0.842 eV per atom. The total energy comes out at -4.097 eV per atom.

a b c (Å): 5.059 5.059 5.456
angles (deg): 90.00 90.00 90.00
Atoms (fractional coordinates):
Sb 0.000 0.500 0.000
Sb 0.500 0.000 0.000
Ir 0.000 0.000 0.000
Pt 0.500 0.500 0.500
I 0.000 0.000 0.500


[6]
An optimized crystal structure of Sm8IrPt3I4, computed with PBE-GGA.

Summary:
Its formation energy (no corrections) is -1.095 eV per atom. The total energy comes out at -5.529 eV per atom.

a b c (Å): 9.383 9.383 9.383
angles (deg): 53.37 53.37 53.37
Atoms (fractional coordinates):
Sm 0.228 0.228 0.228
Sm 0.235 0.725 0.725
Sm 0.275 0.275 0.765
Sm 0.275 0.765 0.275
Sm 0.725 0.235 0.725
Sm 0.725 0.725 0.235
Sm 0.765 0.275 0.275
Sm 0.772 0.772 0.772
Ir 0.500 0.500 0.500
Pt 0.000 0.000 0.500
Pt 0.000 0.500 0.000
Pt 0.500 0.000 0.000
I 0.000 0.000 0.000
I 0.000 0.500 0.500
I 0.500 0.000 0.500
I 0.500 0.500 0.000